1.
Ti4GaRe3, optimized geometry, DFT PBE; total DFT energy (no corrections) = -9.445 eV/atom; space-group type = Pmmm, No. 47; total magnetization = 0.00 Bohr magnetons per cell
1.0
3.1734 0.0000 0.0000
0.0000 4.4037 0.0000
0.0000 0.0000 8.7630
Ti Ga Re
4 1 3
Cartesian
0.0000 0.0000 0.0000
0.0000 0.0000 4.3815
0.0000 2.2018 2.1224
0.0000 2.2018 6.6406
1.5867 2.2018 4.3815
1.5867 0.0000 2.2354
1.5867 0.0000 6.5275
1.5867 2.2018 0.0000

---

2.
DyThPt2, optimized geometry, DFT PBE; total DFT energy (no corrections) = -7.144 eV/atom; space-group type = P4/mmm, No. 123; ΔE to the lowest computed polymorph = 166 meV per atom; total magnetization = 0.00 Bohr magnetons per cell
1.0
5.0424 0.0000 0.0000
0.0000 5.0424 0.0000
0.0000 0.0000 3.5735
Dy Th Pt
1 1 2
Cartesian
0.0000 0.0000 0.0000
2.5212 2.5212 0.0000
0.0000 2.5212 1.7867
2.5212 0.0000 1.7867

---

3.
Li3Si2Pt6, optimized geometry, DFT PBE; total DFT energy (no corrections) = -5.472 eV/atom; energy relative to the elements, uncorrected = -64.58 kJ per mole of atoms; space-group type = Im-3m, No. 229; total magnetization = 0.00 Bohr magnetons per cell
1.0
-4.5881 4.5881 4.5881
4.5881 -4.5881 4.5881
4.5881 4.5881 -4.5881
Li Si Pt
6 4 12
Cartesian
3.0364 0.0000 0.0000
6.1398 0.0000 0.0000
0.0000 3.0364 0.0000
0.0000 0.0000 3.0364
0.0000 6.1398 0.0000
0.0000 0.0000 6.1398
2.2941 2.2941 -2.2941
2.2941 -2.2941 2.2941
-2.2941 2.2941 2.2941
2.2941 2.2941 2.2941
4.5881 1.7281 -1.7281
4.5881 -1.7281 1.7281
1.7281 4.5881 -1.7281
2.8600 2.8600 0.0000
2.8600 0.0000 2.8600
1.7281 -1.7281 4.5881
4.5881 1.7281 1.7281
0.0000 2.8600 2.8600
-1.7281 4.5881 1.7281
-1.7281 1.7281 4.5881
1.7281 4.5881 1.7281
1.7281 1.7281 4.5881

---

4.
CaGdCd, optimized geometry, DFT PBE; total DFT energy (no corrections) = -5.723 eV/atom; space-group type = P3m1, No. 156; ΔE to the lowest computed polymorph = 131 meV per atom; total magnetization = 7.45 Bohr magnetons per cell
1.0
5.3895 0.0000 0.0000
-2.6947 4.6674 0.0000
0.0000 0.0000 3.6309
Ca Gd Cd
1 1 1
Cartesian
0.0000 0.0000 0.0000
0.0000 3.1116 1.5842
2.6947 1.5558 2.6919

---

Which value of total DFT energy (no corrections) does entry 1 give?
-9.445 eV/atom

---

Which formula does entry 1 have?
Ti4GaRe3

---

What is the total magnetization in the third record?
0.00 Bohr magnetons per cell

---

Repeat the third record exactly.
Li3Si2Pt6, optimized geometry, DFT PBE; total DFT energy (no corrections) = -5.472 eV/atom; energy relative to the elements, uncorrected = -64.58 kJ per mole of atoms; space-group type = Im-3m, No. 229; total magnetization = 0.00 Bohr magnetons per cell
1.0
-4.5881 4.5881 4.5881
4.5881 -4.5881 4.5881
4.5881 4.5881 -4.5881
Li Si Pt
6 4 12
Cartesian
3.0364 0.0000 0.0000
6.1398 0.0000 0.0000
0.0000 3.0364 0.0000
0.0000 0.0000 3.0364
0.0000 6.1398 0.0000
0.0000 0.0000 6.1398
2.2941 2.2941 -2.2941
2.2941 -2.2941 2.2941
-2.2941 2.2941 2.2941
2.2941 2.2941 2.2941
4.5881 1.7281 -1.7281
4.5881 -1.7281 1.7281
1.7281 4.5881 -1.7281
2.8600 2.8600 0.0000
2.8600 0.0000 2.8600
1.7281 -1.7281 4.5881
4.5881 1.7281 1.7281
0.0000 2.8600 2.8600
-1.7281 4.5881 1.7281
-1.7281 1.7281 4.5881
1.7281 4.5881 1.7281
1.7281 1.7281 4.5881